Record 1
Material: CoPbNO
Method: DFT, PBE+U
State: optimized geometry

Lattice parameters (Å, degrees): 3.490 5.519 6.375 90.00 90.00 90.00
Each line ends with the local moment (μB).
Fractional positions:
Co: 0.000 0.500 0.371  -2.40
Co: 0.000 0.000 0.629  -2.40
N: 0.000 0.854 0.356  0.15
N: 0.000 0.354 0.644  0.15
O: 0.500 0.406 0.244  0.04
O: 0.500 0.906 0.756  0.04
Pb: 0.500 0.994 0.165  0.05
Pb: 0.500 0.494 0.835  0.05

## Properties
Calculated density: 8.01 Mg/m³
Symmetry: Pmc2_1 (26)
Energy: -44.50 eV per cell
Crystal system: orthorhombic



Record 2
Material: CoPbNO
Method: DFT, PBE+U
State: optimized geometry

Lattice parameters (Å, degrees): 3.572 5.639 6.067 90.00 90.00 90.00
Fractional positions:
Co: 0.500 0.991 0.170
Co: 0.500 0.491 0.830
N: 0.000 0.914 0.294
N: 0.000 0.414 0.706
O: 0.500 0.348 0.133
O: 0.500 0.848 0.867
Pb: 0.000 0.501 0.325
Pb: 0.000 0.001 0.675

## Properties
Calculated density: 8.05 Mg/m³
Symmetry: Pmc2_1 (26)
Energy: -44.35 eV per cell
Crystal system: orthorhombic



Record 3
Material: CoPbNO
Method: DFT, PBE+U
State: optimized geometry

Lattice parameters (Å, degrees): 3.796 3.796 8.949 90.00 90.00 90.00
Each line ends with the local moment (μB).
Fractional positions:
Co: 0.000 0.000 0.500  1.75
Co: 0.500 0.500 0.500  1.75
N: 0.500 0.000 0.453  0.28
N: 0.000 0.500 0.547  0.28
O: 0.000 0.000 0.000  0.00
O: 0.500 0.500 0.000  0.00
Pb: 0.000 0.500 0.142  0.00
Pb: 0.500 0.000 0.858  0.00

## Properties
Calculated density: 7.63 Mg/m³
Symmetry: P4/nmm (129)
Energy: -44.45 eV per cell
Crystal system: tetragonal



Record 4
Material: CoPbNO
Method: DFT, PBE+U
State: optimized geometry

Lattice parameters (Å, degrees): 4.746 4.746 4.522 90.00 90.00 90.00
Each line ends with the local moment (μB).
Fractional positions:
Co: 0.500 0.000 0.001  2.40
Co: 0.000 0.500 0.999  2.40
N: 0.000 0.500 0.488  0.06
N: 0.500 0.000 0.512  0.06
O: 0.000 0.000 0.000  0.07
O: 0.500 0.500 0.000  0.07
Pb: 0.000 0.000 0.500  -0.03
Pb: 0.500 0.500 0.500  -0.03

## Properties
Calculated density: 9.66 Mg/m³
Symmetry: P4/nmm (129)
Energy: -42.49 eV per cell
Crystal system: tetragonal



Record 5
Material: CoPdNO
Method: DFT, PBE+U
State: optimized geometry

Lattice parameters (Å, degrees): 3.772 3.772 7.060 90.00 90.00 90.00
Each line ends with the local moment (μB).
Fractional positions:
Co: 0.000 0.000 0.095  2.55
Co: 0.500 0.500 0.905  2.54
N: 0.000 0.000 0.343  -0.21
N: 0.500 0.500 0.657  -0.22
O: 0.500 0.000 0.000  0.17
O: 0.000 0.500 0.000  0.17
Pd: 0.500 0.000 0.500  -0.53
Pd: 0.000 0.500 0.500  -0.53

## Properties
Calculated density: 6.46 Mg/m³
Symmetry: P4/nmm (129)
Energy: -45.80 eV per cell
Crystal system: tetragonal



Record 6
Material: CoPdNO
Method: DFT, PBE+U
State: optimized geometry

Lattice parameters (Å, degrees): 5.565 2.940 5.600 90.00 90.00 90.00
Each line ends with the local moment (μB).
Fractional positions:
Co: 0.491 0.000 0.340  2.00
Co: 0.991 0.000 0.660  1.99
N: 0.827 0.000 0.371  -0.07
N: 0.327 0.000 0.629  -0.08
O: 0.406 0.500 0.136  -0.01
O: 0.906 0.500 0.864  -0.01
Pd: 0.030 0.500 0.232  -0.20
Pd: 0.530 0.500 0.768  -0.20

## Properties
Calculated density: 7.08 Mg/m³
Symmetry: Pmc2_1 (26)
Energy: -45.98 eV per cell
Crystal system: orthorhombic